Material: HoSnS4
Method: DFT, PBE
State: optimized geometry Values from VASP.

The structure in Quantum ESPRESSO input format:
```
&SYSTEM
  ibrav = 0, nat = 12, ntyp = 3
/
ATOMIC_SPECIES
S 32.06 S.upf
Sn 118.71 Sn.upf
Ho 164.93 Ho.upf
CELL_PARAMETERS angstrom
6.513 0.000 -0.011
0.000 6.659 0.000
-0.115 0.000 6.303
ATOMIC_POSITIONS crystal
S 0.325 0.340 0.357
Sn 0.500 0.000 0.500
S 0.887 0.629 0.132
S 0.387 0.871 0.132
S 0.613 0.129 0.868
S 0.113 0.371 0.868
S 0.175 0.840 0.643
S 0.675 0.660 0.643
Ho 0.500 0.500 0.000
Ho 0.000 0.000 0.000
Sn 0.000 0.500 0.500
S 0.825 0.160 0.357
```

Output
- SG: P2_1/c
- Raw formation energy: -74.3 kJ/mol of atoms